[1]
# BeCrRe2

An optimized crystal structure of BeCrRe2 (GGA-PBE, the Alexandria database).

Output
For the formation energy, the calculation gives 2.502 kcal/mol of atoms. The calculation puts the total DFT energy (no corrections) at -9.45 eV/atom. The magnetization is 1.88 μB/cell.

Cell: 4.2074 4.2074 4.2074 Å, 60.00 60.00 60.00°
With the nearest neighbours (Å) after each atom.
Sites, in units of the cell vectors:
Re 0.0000 0.0000 0.0000  4 Re 2.58, 4 Cr 2.58
Re 0.7500 0.7500 0.7500  4 Re 2.58, 4 Be 2.58
Be 0.5000 0.5000 0.5000  4 Re 2.58, 4 Cr 2.58
Cr 0.2500 0.2500 0.2500  4 Be 2.58, 4 Re 2.58



[2]
# BeCrRe2

An optimized crystal structure of BeCrRe2 (GGA-PBE, the Alexandria database).

Output
For the formation energy, the calculation gives 4.157 kcal/mol of atoms. The calculation puts the total DFT energy (no corrections) at -9.38 eV/atom. The magnetization is 0.00 μB/cell.

Cell: 8.2991 8.2991 8.2991 Å, 18.85 18.85 18.85°
With the nearest neighbours (Å) after each atom.
Sites, in units of the cell vectors:
Re 0.9977 0.9977 0.9977  3 Be 2.53, 3 Cr 2.62, 6 Re 2.72
Re 0.5023 0.5023 0.5023  3 Be 2.53, 3 Cr 2.62, 6 Re 2.72
Be 0.2500 0.2500 0.2500  6 Re 2.53, 6 Be 2.72
Cr 0.7500 0.7500 0.7500  6 Re 2.62, 6 Cr 2.72



[3]
# BeCrRe2

An optimized crystal structure of BeCrRe2 (GGA-PBE, the Alexandria database).

Output
For the formation energy, the calculation gives 2.125 kcal/mol of atoms. The calculation puts the total DFT energy (no corrections) at -9.47 eV/atom. The magnetization is 0.00 μB/cell.

Cell: 3.9978 2.6125 5.0602 Å, 79.29 90.00 90.00°
With the nearest neighbours (Å) after each atom.
Sites, in units of the cell vectors:
Re 0.0000 0.9803 0.0069  2 Be 2.52, 2 Cr 2.52, 4 Re 2.53-2.72
Re 0.0000 0.5197 0.4931  2 Be 2.52, 2 Cr 2.52, 4 Re 2.53-2.72
Be 0.5000 0.2500 0.2500  4 Re 2.52, 2 Be 2.61, 2 Cr 2.62
Cr 0.5000 0.7500 0.7500  4 Re 2.52, 2 Cr 2.61, 2 Be 2.62



[4]
# BeCrRe3

An optimized crystal structure of BeCrRe3 (GGA-PBE, the Alexandria database).

Output
For the formation energy, the calculation gives 18.497 kcal/mol of atoms. The energy above the lowest structure with this stoichiometry comes out at 0 meV per atom. The calculation puts the total DFT energy (no corrections) at -9.34 eV/atom. The magnetization is 0.00 μB/cell.

Cell: 4.0988 4.0988 4.0988 Å, 90.00 90.00 90.00°
With the nearest neighbours (Å) after each atom.
Sites, in units of the cell vectors:
Re 0.0000 0.5000 0.0000  2 Be 2.05
Re 0.0000 0.0000 0.5000  2 Be 2.05
Re 0.5000 0.0000 0.0000  2 Be 2.05
Be 0.0000 0.0000 0.0000  6 Re 2.05
Cr 0.5000 0.5000 0.5000  12 Re 2.90



[5]
# BeCrRe2

An optimized crystal structure of BeCrRe2 (GGA-PBE, the Alexandria database).

Output
For the formation energy, the calculation gives 1.957 kcal/mol of atoms. The calculation puts the total DFT energy (no corrections) at -9.48 eV/atom. The magnetization is 0.00 μB/cell.

Cell: 4.1671 2.6059 4.8697 Å, 78.11 90.00 90.00°
With the nearest neighbours (Å) after each atom.
Sites, in units of the cell vectors:
Re 0.0000 0.9761 0.9859  3 Be 2.53-2.76, 2 Cr 2.54, 4 Re 2.61-2.64
Re 0.5000 0.2106 0.2687  1 Cr 2.37, 4 Re 2.61-2.64, 2 Be 2.64
Be 0.0000 0.5710 0.5047  2 Cr 2.46, 4 Re 2.53-2.64, 2 Be 2.61
Cr 0.5000 0.7424 0.7407  3 Re 2.37-2.54, 2 Be 2.46, 2 Cr 2.61



[6]
# Be2CrRe2

An optimized crystal structure of Be2CrRe2 (GGA-PBE, the Alexandria database).

Output
For the formation energy, the calculation gives -3.965 kcal/mol of atoms. The calculation puts the total DFT energy (no corrections) at -8.57 eV/atom. The magnetization is 0.00 μB/cell.

Cell: 5.9879 5.9879 3.0989 Å, 90.00 90.00 90.00°
With the nearest neighbours (Å) after each atom.
Sites, in units of the cell vectors:
Re 0.1756 0.6756 0.5000  6 Be 2.32-2.38
Re 0.6756 0.8244 0.5000  6 Be 2.32-2.38
Re 0.8244 0.3244 0.5000  6 Be 2.32-2.38
Re 0.3244 0.1756 0.5000  6 Be 2.32-2.38
Be 0.3793 0.8793 0.0000  1 Be 2.05
Be 0.8793 0.6207 0.0000  1 Be 2.05
Be 0.6207 0.1207 0.0000  1 Be 2.05
Be 0.1207 0.3793 0.0000  1 Be 2.05
Cr 0.0000 0.0000 0.0000  4 Be 2.38
Cr 0.5000 0.5000 0.0000  4 Be 2.38



[7]
# Be2CrRe

An optimized crystal structure of Be2CrRe (GGA-PBE, the Alexandria database).

Output
For the formation energy, the calculation gives 4.109 kcal/mol of atoms. The energy above the lowest structure with this stoichiometry comes out at 230 meV per atom. The calculation puts the total DFT energy (no corrections) at -7.20 eV/atom. The magnetization is 0.00 μB/cell.

Cell: 3.9197 3.9197 3.9197 Å, 60.00 60.00 60.00°
With the nearest neighbours (Å) after each atom.
Sites, in units of the cell vectors:
Re 0.5000 0.5000 0.5000  8 Be 2.40
Be 0.2500 0.2500 0.2500  4 Cr 2.40, 4 Re 2.40
Be 0.7500 0.7500 0.7500  4 Re 2.40, 4 Cr 2.40
Cr 0.0000 0.0000 0.0000  8 Be 2.40



[8]
# BeCrRe2

An optimized crystal structure of BeCrRe2 (GGA-PBE, the Alexandria database).

Output
For the formation energy, the calculation gives 2.604 kcal/mol of atoms. The calculation puts the total DFT energy (no corrections) at -9.45 eV/atom. The magnetization is 0.22 μB/cell.

Cell: 2.6199 2.6199 8.0005 Å, 90.00 90.00 109.77°
With the nearest neighbours (Å) after each atom.
Sites, in units of the cell vectors:
Re 0.0000 0.0000 0.0099  2 Be 2.44, 2 Cr 2.57, 4 Re 2.62
Re 0.0000 0.0000 0.4901  2 Be 2.44, 2 Cr 2.57, 4 Re 2.62
Be 0.5000 0.5000 0.2500  4 Re 2.44, 4 Be 2.62
Cr 0.5000 0.5000 0.7500  4 Re 2.57, 4 Cr 2.62



[9]
# Be2CrRe

An optimized crystal structure of Be2CrRe (GGA-PBE, the Alexandria database).

Output
For the formation energy, the calculation gives 2.037 kcal/mol of atoms. The energy above the lowest structure with this stoichiometry comes out at 140 meV per atom. The calculation puts the total DFT energy (no corrections) at -7.29 eV/atom. The magnetization is 0.27 μB/cell.

Cell: 4.4024 4.4024 4.4024 Å, 133.41 133.41 68.01°
With the nearest neighbours (Å) after each atom.
Sites, in units of the cell vectors:
Re 0.7500 0.2500 0.5000  4 Cr 2.46, 8 Be 2.52
Be 0.0000 0.0000 0.0000  4 Be 2.46, 4 Re 2.52, 4 Cr 2.52
Be 0.5000 0.5000 0.0000  4 Be 2.46, 4 Cr 2.52, 4 Re 2.52
Cr 0.2500 0.7500 0.5000  4 Re 2.46, 8 Be 2.52



[10]
# Be2CrRe

An optimized crystal structure of Be2CrRe (GGA-PBE, the Alexandria database).

Output
For the formation energy, the calculation gives 1.655 kcal/mol of atoms. The energy above the lowest structure with this stoichiometry comes out at 124 meV per atom. The calculation puts the total DFT energy (no corrections) at -7.31 eV/atom. The magnetization is 0.00 μB/cell.

Cell: 3.7214 2.4964 4.9761 Å, 74.64 90.00 90.00°
With the nearest neighbours (Å) after each atom.
Sites, in units of the cell vectors:
Re 0.5000 0.7500 0.7500  8 Be 2.44-2.71, 2 Cr 2.47, 2 Re 2.50
Be 0.0000 0.0032 0.0104  2 Cr 2.38, 4 Be 2.38-2.56, 2 Re 2.44
Be 0.0000 0.4968 0.4896  2 Cr 2.38, 4 Be 2.38-2.56, 2 Re 2.44
Cr 0.5000 0.2500 0.2500  4 Be 2.38, 2 Re 2.47, 2 Cr 2.50



[11]
# BeCrRe2

An optimized crystal structure of BeCrRe2 (GGA-PBE, the Alexandria database).

Output
For the formation energy, the calculation gives 5.010 kcal/mol of atoms. The calculation puts the total DFT energy (no corrections) at -9.34 eV/atom. The magnetization is 0.00 μB/cell.

Cell: 2.6184 2.6184 8.0479 Å, 90.00 90.00 109.80°
With the nearest neighbours (Å) after each atom.
Sites, in units of the cell vectors:
Re 0.0000 0.0000 0.9869  2 Cr 2.54, 6 Re 2.62-2.75
Re 0.5000 0.5000 0.2724  2 Be 2.43, 4 Re 2.62
Cr 0.5000 0.5000 0.7319  2 Be 2.34, 2 Re 2.54, 4 Cr 2.62
Be 0.0000 0.0000 0.5089  2 Cr 2.34, 2 Re 2.43, 4 Be 2.62



[12]
# BeCrRe2

An optimized crystal structure of BeCrRe2 (GGA-PBE, the Alexandria database).

Output
For the formation energy, the calculation gives 15.824 kcal/mol of atoms. The calculation puts the total DFT energy (no corrections) at -8.88 eV/atom. The magnetization is 2.69 μB/cell.

Cell: 7.1219 7.1219 5.4917 Å, 49.58 49.58 90.00°
With the nearest neighbours (Å) after each atom.
Sites, in units of the cell vectors:
Re 0.5370 0.1250 0.2500  2 Be 2.19
Re 0.2130 0.6250 0.2500  2 Be 2.19
Re 0.3750 0.4630 0.7500  2 Be 2.19
Re 0.8750 0.7870 0.7500  2 Be 2.19
Be 0.5000 0.5000 0.0000  2 Cr 2.19, 4 Re 2.19
Be 0.2500 0.7500 0.5000  2 Cr 2.19, 4 Re 2.19
Cr 0.0000 0.0000 0.0000  2 Be 2.19
Cr 0.7500 0.2500 0.5000  2 Be 2.19



[13]
# Be2CrRe

An optimized crystal structure of Be2CrRe (GGA-PBE, the Alexandria database).

Output
For the formation energy, the calculation gives 7.226 kcal/mol of atoms. The energy above the lowest structure with this stoichiometry comes out at 365 meV per atom. The calculation puts the total DFT energy (no corrections) at -7.07 eV/atom. The magnetization is 0.71 μB/cell.

Cell: 8.0857 8.0857 8.0857 Å, 18.62 18.62 18.62°
With the nearest neighbours (Å) after each atom.
Sites, in units of the cell vectors:
Re 0.7500 0.7500 0.7500  6 Be 2.53, 6 Re 2.62
Be 0.9984 0.9984 0.9984  3 Cr 2.46, 3 Re 2.53, 6 Be 2.62
Be 0.5016 0.5016 0.5016  3 Cr 2.46, 3 Re 2.53, 6 Be 2.62
Cr 0.2500 0.2500 0.2500  6 Be 2.46, 6 Cr 2.62



[14]
# Be2CrRe

An optimized crystal structure of Be2CrRe (GGA-PBE, the Alexandria database).

Output
For the formation energy, the calculation gives 3.564 kcal/mol of atoms. The energy above the lowest structure with this stoichiometry comes out at 207 meV per atom. The calculation puts the total DFT energy (no corrections) at -7.23 eV/atom. The magnetization is 0.00 μB/cell.

Cell: 2.5108 2.5108 7.3710 Å, 90.00 90.00 104.06°
With the nearest neighbours (Å) after each atom.
Sites, in units of the cell vectors:
Re 0.5000 0.5000 0.7500  8 Be 2.46-2.75, 4 Re 2.51
Be 0.0000 0.0000 0.0094  2 Cr 2.35, 2 Re 2.46, 4 Be 2.51
Be 0.0000 0.0000 0.4906  2 Cr 2.35, 2 Re 2.46, 4 Be 2.51
Cr 0.5000 0.5000 0.2500  4 Be 2.35, 4 Cr 2.51



[15]
# Be2CrRe

An optimized crystal structure of Be2CrRe (GGA-PBE, the Alexandria database).

Output
For the formation energy, the calculation gives -1.200 kcal/mol of atoms. The energy above the lowest structure with this stoichiometry comes out at 0 meV per atom. The calculation puts the total DFT energy (no corrections) at -7.43 eV/atom. The magnetization is 0.00 μB/cell.

Cell: 4.3708 4.3708 3.8519 Å, 64.62 64.62 41.30°
With the nearest neighbours (Å) after each atom.
Sites, in units of the cell vectors:
Re 0.7424 0.7424 0.7525  8 Be 2.46-2.60, 4 Cr 2.47-2.62
Be 0.9791 0.9791 0.0268  2 Be 2.16
Be 0.2703 0.2703 0.2244  2 Be 2.16
Cr 0.5082 0.5082 0.4963  8 Be 2.45-2.60, 4 Re 2.47-2.62



[16]
# BeCrRe2

An optimized crystal structure of BeCrRe2 (GGA-PBE, the Alexandria database).

Output
For the formation energy, the calculation gives 0.368 kcal/mol of atoms. The calculation puts the total DFT energy (no corrections) at -9.55 eV/atom. The magnetization is 0.00 μB/cell.

Cell: 4.8685 4.8685 4.0783 Å, 65.25 65.25 35.72°
With the nearest neighbours (Å) after each atom.
Sites, in units of the cell vectors:
Re 0.9939 0.9939 0.0061  2 Cr 2.53, 4 Be 2.53, 2 Re 2.61
Re 0.7510 0.7510 0.7486  4 Cr 2.53, 2 Be 2.59, 2 Re 2.61
Be 0.5060 0.5060 0.4946  2 Cr 2.51, 6 Re 2.53-2.59
Cr 0.2489 0.2489 0.2507  2 Be 2.51, 6 Re 2.53



[17]
# Be2CrRe

An optimized crystal structure of Be2CrRe (GGA-PBE, the Alexandria database).

Output
For the formation energy, the calculation gives 4.109 kcal/mol of atoms. The energy above the lowest structure with this stoichiometry comes out at 230 meV per atom. The calculation puts the total DFT energy (no corrections) at -7.20 eV/atom. The magnetization is 0.97 μB/cell.

Cell: 2.6486 2.6486 6.1940 Å, 90.00 90.00 90.00°
With the nearest neighbours (Å) after each atom.
Sites, in units of the cell vectors:
Re 0.5000 0.5000 0.7500  8 Be 2.47, 4 Re 2.65
Be 0.0000 0.0000 0.0101  4 Cr 2.39, 4 Re 2.47, 4 Be 2.65
Be 0.0000 0.0000 0.4899  4 Cr 2.39, 4 Re 2.47, 4 Be 2.65
Cr 0.5000 0.5000 0.2500  8 Be 2.39, 4 Cr 2.65



[18]
# Be2CrRe

An optimized crystal structure of Be2CrRe (GGA-PBE, the Alexandria database).

Output
For the formation energy, the calculation gives 0.973 kcal/mol of atoms. The energy above the lowest structure with this stoichiometry comes out at 94 meV per atom. The calculation puts the total DFT energy (no corrections) at -7.34 eV/atom. The magnetization is 0.00 μB/cell.

Cell: 3.0903 3.8475 3.7250 Å, 90.00 90.00 90.00°
With the nearest neighbours (Å) after each atom.
Sites, in units of the cell vectors:
Re 0.0000 0.5000 0.5000  8 Be 2.42-2.68, 4 Cr 2.47
Be 0.0000 0.0000 0.0000  4 Cr 2.42, 4 Be 2.47, 4 Re 2.68
Be 0.5000 0.5000 0.0000  4 Re 2.42, 4 Be 2.47, 4 Cr 2.68
Cr 0.5000 0.0000 0.5000  8 Be 2.42-2.68, 4 Re 2.47



[19]
# BeCrRe2

An optimized crystal structure of BeCrRe2 (GGA-PBE, the Alexandria database).

Output
For the formation energy, the calculation gives 2.645 kcal/mol of atoms. The calculation puts the total DFT energy (no corrections) at -9.45 eV/atom. The magnetization is 0.00 μB/cell.

Cell: 4.1195 4.1195 2.9619 Å, 90.00 90.00 90.05°
With the nearest neighbours (Å) after each atom.
Sites, in units of the cell vectors:
Re 0.0000 0.0000 0.0000  4 Be 2.54, 4 Cr 2.54
Re 0.5000 0.5000 0.0000  4 Cr 2.54, 4 Be 2.54
Be 0.5000 0.0000 0.5000  8 Re 2.54
Cr 0.0000 0.5000 0.5000  8 Re 2.54



[20]
# Be2CrRe

An optimized crystal structure of Be2CrRe (GGA-PBE, the Alexandria database).

Output
For the formation energy, the calculation gives -0.729 kcal/mol of atoms. The energy above the lowest structure with this stoichiometry comes out at 20 meV per atom. The calculation puts the total DFT energy (no corrections) at -7.41 eV/atom. The magnetization is 0.00 μB/cell.

Cell: 3.8219 2.6000 4.4946 Å, 79.84 90.00 90.00°
With the nearest neighbours (Å) after each atom.
Sites, in units of the cell vectors:
Re 0.5000 0.7238 0.7711  7 Be 2.37-2.54, 2 Cr 2.44, 2 Re 2.60
Be 0.0000 0.1415 0.0024  2 Be 2.21, 2 Cr 2.40-2.43
Be 0.5000 0.1133 0.2521  2 Be 2.21, 2 Re 2.37-2.45
Cr 0.0000 0.5214 0.4743  7 Be 2.40-2.54, 2 Re 2.44, 2 Cr 2.60